# 1
# ZnMo3 GGA-PBE optimized geometry
# Space group: I4/mmm
# Size of the total moment, μB per cell: 0.000
# Energy above the lowest structure with this stoichiometry, eV/atom: 0.161
# Final energy, eV per atom: -8.25
# Calculated formation energy, kJ/mol of formula units: 74
# Volume, Å³/atom: 15.4
data_ZnMo3
_chemical_formula_sum 'Zn2 Mo6'
_space_group_name_H-M_alt 'P 1'
_space_group_IT_number 1
_space_group_name_Hall 'P 1'
_cell_length_a 8.452
_cell_length_b 8.452
_cell_length_c 8.452
_cell_angle_alpha 153.14
_cell_angle_beta 153.14
_cell_angle_gamma 38.35
loop_
_atom_site_label
_atom_site_fract_x
_atom_site_fract_y
_atom_site_fract_z
Zn1 0.125 0.125 0.000
Zn2 0.875 0.875 0.000
Mo1 0.000 0.500 0.500
Mo2 0.250 0.750 0.500
Mo3 0.376 0.376 0.000
Mo4 0.500 0.000 0.500
Mo5 0.624 0.624 0.000
Mo6 0.750 0.250 0.500


# 2
# RbGePt3 GGA-PBE optimized geometry
# Space group: Cmcm
# Size of the total moment, μB per cell: 0.000
# Energy above the lowest structure with this stoichiometry, eV/atom: 0.000
# Final energy, eV per atom: -4.92
# Calculated formation energy, kJ/mol of formula units: -87
# Volume, Å³/atom: 20.5
data_RbGePt3
_chemical_formula_sum 'Rb2 Ge2 Pt6'
_space_group_name_H-M_alt 'P 1'
_space_group_IT_number 1
_space_group_name_Hall 'P 1'
_cell_length_a 6.311
_cell_length_b 6.311
_cell_length_c 6.063
_cell_angle_alpha 90.00
_cell_angle_beta 90.00
_cell_angle_gamma 122.10
loop_
_atom_site_label
_atom_site_fract_x
_atom_site_fract_y
_atom_site_fract_z
Rb1 0.246 0.754 0.750
Rb2 0.754 0.246 0.250
Ge1 0.109 0.891 0.250
Ge2 0.891 0.109 0.750
Pt1 0.267 0.267 0.000
Pt2 0.267 0.267 0.500
Pt3 0.331 0.669 0.250
Pt4 0.669 0.331 0.750
Pt5 0.733 0.733 0.000
Pt6 0.733 0.733 0.500


# 3
# RbCuSn2 GGA-PBE optimized geometry
# Space group: R-3m
# Size of the total moment, μB per cell: 0.000
# Final energy, eV per atom: -3.41
# Calculated formation energy, kJ/mol of formula units: -53
# Volume, Å³/atom: 31.4
data_RbCuSn2
_chemical_formula_sum 'Rb1 Cu1 Sn2'
_space_group_name_H-M_alt 'P 1'
_space_group_IT_number 1
_space_group_name_Hall 'P 1'
_cell_length_a 7.903
_cell_length_b 7.903
_cell_length_c 7.903
_cell_angle_alpha 32.33
_cell_angle_beta 32.33
_cell_angle_gamma 32.33
loop_
_atom_site_label
_atom_site_fract_x
_atom_site_fract_y
_atom_site_fract_z
Rb1 0.000 0.000 0.000
Cu1 0.500 0.500 0.500
Sn1 0.209 0.209 0.209
Sn2 0.791 0.791 0.791